--- w ---
PBE-GGA TcPtS2N, relaxed; SG = P4/mmm, No. 123; density = 6.855 Mg/m³
1.0
4.951 0.000 0.000
0.000 4.951 0.000
0.000 0.000 3.668
Tc Pt S N
1 1 2 1
direct
0.000 0.000 0.000
0.500 0.500 0.500
0.000 0.500 0.500
0.500 0.000 0.500
0.500 0.500 0.000

--- x ---
PBE-GGA TcPtS2N, relaxed; SG = P4/mmm, No. 123; density = 7.506 Mg/m³
1.0
4.738 0.000 0.000
0.000 4.738 0.000
0.000 0.000 3.658
Tc Pt S N
1 1 2 1
direct
0.000 0.000 0.000
0.500 0.500 0.500
0.000 0.500 0.000
0.500 0.000 0.000
0.000 0.000 0.500

Which is most stable? The ranking, best first, is x, w.